Record 1
Ga3CSe: relaxed, GGA-PBE.

Cell: 4.432 4.432 4.432 Å, 90.00 90.00 90.00°
Sites, in units of the cell vectors:
Ga1 0.000 0.000 0.500
Ga2 0.000 0.500 0.000
Ga3 0.500 0.000 0.000
C1 0.000 0.000 0.000
Se1 0.500 0.500 0.500

## Properties
The formation energy from raw total energies is 0.498 eV/atom. The calculation puts the calculated total energy at -19.3 eV/cell. Its volume is 87.04 Å³ per cell. Its distance to the lowest polymorph of the same formula is 0.000 eV/atom. As for the density: 5.7 Mg/m³. The total moment comes out at 0.00 μB/atom.

=====

Record 2
GaCSe3: relaxed, GGA-PBE.

Cell: 4.957 4.957 4.957 Å, 90.00 90.00 90.00°
Sites, in units of the cell vectors:
Ga1 0.000 0.000 0.000
C1 0.500 0.500 0.500
Se1 0.000 0.000 0.500
Se2 0.000 0.500 0.000
Se3 0.500 0.000 0.000

## Properties
The formation energy from raw total energies is 1.700 eV/atom. The calculation puts the calculated total energy at -14.2 eV/cell. Its volume is 121.81 Å³ per cell. Its distance to the lowest polymorph of the same formula is 0.781 eV/atom. As for the density: 4.3 Mg/m³. The total moment comes out at 0.12 μB/atom.

=====

Record 3
GaC2Se: relaxed, GGA-PBE.

Cell: 4.098 4.098 4.098 Å, 60.00 60.00 60.00°
Sites, in units of the cell vectors:
Ga1 0.000 0.000 0.000
C1 0.250 0.250 0.250
C2 0.750 0.750 0.750
Se1 0.500 0.500 0.500

## Properties
The formation energy from raw total energies is 2.333 eV/atom. The calculation puts the calculated total energy at -15.6 eV/cell. Its volume is 48.66 Å³ per cell. Its distance to the lowest polymorph of the same formula is 1.067 eV/atom. As for the density: 5.9 Mg/m³. The total moment comes out at 0.00 μB/atom.

=====

Record 4
GaTe2CSe: relaxed, GGA-PBE.

Cell: 5.518 5.518 5.227 Å, 90.00 90.00 90.00°
Sites, in units of the cell vectors:
Ga1 0.000 0.000 0.000
Te1 0.000 0.500 0.500
Te2 0.500 0.000 0.500
C1 0.500 0.500 0.000
Se1 0.000 0.000 0.500

## Properties
The formation energy from raw total energies is 1.692 eV/atom. The calculation puts the calculated total energy at -13.6 eV/cell. Its volume is 159.14 Å³ per cell. As for the density: 4.3 Mg/m³. The total moment comes out at 0.25 μB/atom.

=====

Record 5
Tl2GaCSe: relaxed, GGA-PBE.

Cell: 5.799 5.799 4.841 Å, 90.00 90.00 90.00°
Sites, in units of the cell vectors:
Tl1 0.000 0.500 0.000
Tl2 0.500 0.000 0.000
Ga1 0.000 0.000 0.000
C1 0.500 0.500 0.500
Se1 0.000 0.000 0.500

## Properties
The formation energy from raw total energies is 1.353 eV/atom. The calculation puts the calculated total energy at -13.7 eV/cell. Its volume is 162.80 Å³ per cell. As for the density: 5.8 Mg/m³. The total moment comes out at 0.56 μB/atom.

=====

Record 6
Tm6GaC2Se3: relaxed, GGA-PBE.

Cell: 8.720 8.720 8.030 Å, 102.80 102.80 24.94°
Sites, in units of the cell vectors:
Tm1 0.025 0.025 0.269
Tm2 0.321 0.321 0.439
Tm3 0.327 0.327 0.867
Tm4 0.673 0.673 0.133
Tm5 0.679 0.679 0.561
Tm6 0.975 0.975 0.731
Ga1 0.500 0.500 0.000
C1 0.173 0.173 0.345
C2 0.827 0.827 0.655
Se1 0.160 0.160 0.834
Se2 0.500 0.500 0.500
Se3 0.840 0.840 0.166

## Properties
The formation energy from raw total energies is -1.111 eV/atom. The calculation puts the calculated total energy at -72.1 eV/cell. Its volume is 250.76 Å³ per cell. As for the density: 8.9 Mg/m³. The total moment comes out at 0.00 μB/atom.

=====

Record 7
YGaC2Se: relaxed, GGA-PBE.

Cell: 4.181 4.181 4.897 Å, 90.00 90.00 90.00°
Sites, in units of the cell vectors:
Y1 0.000 0.000 0.000
Ga1 0.500 0.500 0.000
C1 0.000 0.500 0.500
C2 0.500 0.000 0.500
Se1 0.500 0.500 0.500

## Properties
The formation energy from raw total energies is 1.641 eV/atom. The calculation puts the calculated total energy at -23.2 eV/cell. Its volume is 85.58 Å³ per cell. As for the density: 5.1 Mg/m³. The total moment comes out at 0.00 μB/atom.

=====

Record 8
GaSi3C: relaxed, GGA-PBE.

Cell: 4.095 4.095 4.095 Å, 90.00 90.00 90.00°
Sites, in units of the cell vectors:
Ga1 0.000 0.000 0.000
Si1 0.000 0.500 0.500
Si2 0.500 0.000 0.500
Si3 0.500 0.500 0.000
C1 0.500 0.500 0.500

## Properties
The formation energy from raw total energies is 0.857 eV/atom. The calculation puts the calculated total energy at -24.2 eV/cell. Its volume is 68.68 Å³ per cell. Its distance to the lowest polymorph of the same formula is 0.000 eV/atom. As for the density: 4.0 Mg/m³. The total moment comes out at 0.00 μB/atom.

=====

Record 9
Ga2SiC2: relaxed, GGA-PBE.

Cell: 5.312 5.312 5.312 Å, 138.06 138.06 60.82°
Sites, in units of the cell vectors:
Ga1 0.141 0.141 0.000
Ga2 0.859 0.859 0.000
Si1 0.500 0.500 0.000
C1 0.250 0.750 0.500
C2 0.750 0.250 0.500

## Properties
The formation energy from raw total energies is 1.520 eV/atom. The calculation puts the calculated total energy at -22.3 eV/cell. Its volume is 66.23 Å³ per cell. Its distance to the lowest polymorph of the same formula is 0.000 eV/atom. As for the density: 4.8 Mg/m³. The total moment comes out at 0.00 μB/atom.

=====

Record 10
GaSiC3: relaxed, GGA-PBE.

Cell: 3.989 3.989 3.989 Å, 90.00 90.00 90.00°
Sites, in units of the cell vectors:
Ga1 0.000 0.000 0.000
Si1 0.500 0.500 0.500
C1 0.000 0.000 0.500
C2 0.000 0.500 0.000
C3 0.500 0.000 0.000

## Properties
The formation energy from raw total energies is 2.862 eV/atom. The calculation puts the calculated total energy at -21.8 eV/cell. Its volume is 63.50 Å³ per cell. Its distance to the lowest polymorph of the same formula is 0.895 eV/atom. As for the density: 3.5 Mg/m³. The total moment comes out at 0.00 μB/atom.

=====

Record 11
GaSiC3: relaxed, GGA-PBE.

Cell: 3.796 3.796 3.796 Å, 90.00 90.00 90.00°
Sites, in units of the cell vectors:
Ga1 0.000 0.000 0.000
Si1 0.500 0.500 0.500
C1 0.000 0.500 0.500
C2 0.500 0.000 0.500
C3 0.500 0.500 0.000

## Properties
The formation energy from raw total energies is 1.967 eV/atom. The calculation puts the calculated total energy at -26.3 eV/cell. Its volume is 54.69 Å³ per cell. Its distance to the lowest polymorph of the same formula is 0.000 eV/atom. As for the density: 4.1 Mg/m³. The total moment comes out at 0.00 μB/atom.

=====

Record 12
Ga2SiC2: relaxed, GGA-PBE.

Cell: 6.722 6.722 2.719 Å, 90.00 90.00 90.00°
Sites, in units of the cell vectors:
Ga1 0.142 0.358 0.000
Ga2 0.358 0.858 0.000
Ga3 0.642 0.142 0.000
Ga4 0.858 0.642 0.000
Si1 0.000 0.000 0.000
Si2 0.500 0.500 0.000
C1 0.153 0.653 0.500
C2 0.347 0.153 0.500
C3 0.653 0.847 0.500
C4 0.847 0.347 0.500

## Properties
The formation energy from raw total energies is 1.685 eV/atom. The calculation puts the calculated total energy at -43.0 eV/cell. Its volume is 122.89 Å³ per cell. Its distance to the lowest polymorph of the same formula is 0.165 eV/atom. As for the density: 5.2 Mg/m³. The total moment comes out at 0.00 μB/atom.

=====

Record 13
GaSi3C: relaxed, GGA-PBE.

Cell: 4.659 4.659 4.659 Å, 90.00 90.00 90.00°
Sites, in units of the cell vectors:
Ga1 0.000 0.000 0.000
Si1 0.000 0.000 0.500
Si2 0.000 0.500 0.000
Si3 0.500 0.000 0.000
C1 0.500 0.500 0.500

## Properties
The formation energy from raw total energies is 2.203 eV/atom. The calculation puts the calculated total energy at -17.5 eV/cell. Its volume is 101.16 Å³ per cell. Its distance to the lowest polymorph of the same formula is 1.347 eV/atom. As for the density: 2.7 Mg/m³. The total moment comes out at 0.00 μB/atom.

=====

Record 14
Ga2SiC: relaxed, GGA-PBE.

Cell: 6.017 6.017 6.017 Å, 126.66 126.66 78.81°
Sites, in units of the cell vectors:
Ga1 0.044 0.625 0.919
Ga2 0.375 0.294 0.419
Ga3 0.706 0.125 0.081
Ga4 0.875 0.956 0.581
Si1 0.250 0.750 0.500
Si2 0.500 0.500 0.000
C1 0.000 0.000 0.000
C2 0.750 0.250 0.500

## Properties
The formation energy from raw total energies is 0.593 eV/atom. The calculation puts the calculated total energy at -36.7 eV/cell. Its volume is 135.66 Å³ per cell. Its distance to the lowest polymorph of the same formula is 0.000 eV/atom. As for the density: 4.4 Mg/m³. The total moment comes out at 0.00 μB/atom.

=====

Record 15
Ga2SiC: relaxed, GGA-PBE.

Cell: 4.357 4.357 4.357 Å, 60.00 60.00 60.00°
Sites, in units of the cell vectors:
Ga1 0.250 0.250 0.250
Ga2 0.750 0.750 0.750
Si1 0.000 0.000 0.000
C1 0.500 0.500 0.500

## Properties
The formation energy from raw total energies is 1.305 eV/atom. The calculation puts the calculated total energy at -15.5 eV/cell. Its volume is 58.48 Å³ per cell. Its distance to the lowest polymorph of the same formula is 0.711 eV/atom. As for the density: 5.1 Mg/m³. The total moment comes out at 0.00 μB/atom.

=====

Record 16
TaGa2SiC: relaxed, GGA-PBE.

Cell: 4.356 4.356 3.833 Å, 90.00 90.00 90.00°
Sites, in units of the cell vectors:
Ta1 0.000 0.000 0.000
Ga1 0.000 0.500 0.500
Ga2 0.500 0.000 0.500
Si1 0.500 0.500 0.000
C1 0.500 0.500 0.500

## Properties
The formation energy from raw total energies is 0.931 eV/atom. The calculation puts the calculated total energy at -27.9 eV/cell. Its volume is 72.75 Å³ per cell. As for the density: 8.2 Mg/m³. The total moment comes out at 0.00 μB/atom.

=====

Record 17
TiGa2SiC: relaxed, GGA-PBE.

Cell: 4.207 4.207 4.195 Å, 90.00 90.00 90.00°
Sites, in units of the cell vectors:
Ti1 0.000 0.000 0.000
Ga1 0.000 0.500 0.500
Ga2 0.500 0.000 0.500
Si1 0.500 0.500 0.000
C1 0.000 0.000 0.500

## Properties
The formation energy from raw total energies is 0.347 eV/atom. The calculation puts the calculated total energy at -26.9 eV/cell. Its volume is 74.24 Å³ per cell. As for the density: 5.1 Mg/m³. The total moment comes out at 0.00 μB/atom.

=====

Record 18
Sm6Ga3C: relaxed, GGA-PBE.

Cell: 6.445 8.093 11.639 Å, 90.00 119.25 90.00°
Sites, in units of the cell vectors:
Sm1 0.089 0.048 0.230
Sm2 0.089 0.452 0.730
Sm3 0.180 0.709 0.061
Sm4 0.180 0.791 0.561
Sm5 0.389 0.151 0.059
Sm6 0.389 0.349 0.559
Sm7 0.611 0.651 0.441
Sm8 0.611 0.849 0.941
Sm9 0.820 0.209 0.439
Sm10 0.820 0.291 0.939
Sm11 0.911 0.548 0.270
Sm12 0.911 0.952 0.770
Ga1 0.318 0.114 0.740
Ga2 0.318 0.386 0.240
Ga3 0.500 0.000 0.500
Ga4 0.500 0.500 0.000
Ga5 0.682 0.614 0.760
Ga6 0.682 0.886 0.260
C1 0.000 0.000 0.000
C2 0.000 0.500 0.500

## Properties
The calculation puts the calculated total energy at -100.1 eV/cell. Its volume is 529.73 Å³ per cell. For the formation energy, the calculation gives -345 meV per atom. As for the density: 7.0 Mg/m³. The total moment comes out at 0.00 μB/atom.

=====

Record 19
Sm4Ga2C: relaxed, GGA-PBE.

Cell: 6.435 6.435 8.768 Å, 121.86 121.86 34.39°
Sites, in units of the cell vectors:
Sm1 0.085 0.085 0.337
Sm2 0.343 0.343 0.939
Sm3 0.657 0.657 0.061
Sm4 0.915 0.915 0.663
Ga1 0.379 0.379 0.346
Ga2 0.621 0.621 0.654
C1 0.000 0.000 0.000

## Properties
The calculation puts the calculated total energy at -36.9 eV/cell. Its volume is 170.92 Å³ per cell. For the formation energy, the calculation gives -392 meV per atom. Its distance to the lowest polymorph of the same formula is 0.000 eV/atom. As for the density: 7.3 Mg/m³. The total moment comes out at 0.11 μB/atom.

=====

Record 20
Sm4Ga2C: relaxed, GGA-PBE.

Cell: 7.855 12.654 3.703 Å, 90.00 90.00 90.00°
Sites, in units of the cell vectors:
Sm1 0.120 0.187 0.000
Sm2 0.211 0.950 0.500
Sm3 0.289 0.450 0.500
Sm4 0.380 0.687 0.000
Sm5 0.620 0.313 0.000
Sm6 0.711 0.550 0.500
Sm7 0.789 0.050 0.500
Sm8 0.880 0.813 0.000
Ga1 0.077 0.665 0.500
Ga2 0.423 0.165 0.500
Ga3 0.577 0.835 0.500
Ga4 0.923 0.335 0.500
C1 0.000 0.000 0.000
C2 0.500 0.500 0.000

## Properties
The calculation puts the calculated total energy at -72.0 eV/cell. Its volume is 368.10 Å³ per cell. For the formation energy, the calculation gives -267 meV per atom. Its distance to the lowest polymorph of the same formula is 0.126 eV/atom. As for the density: 6.8 Mg/m³. The total moment comes out at 0.00 μB/atom.